[1]
Entry from Alexandria via LeMat-Bulk: an optimized crystal structure of La2InSe (PBE).

abc: 5.478 5.478 5.478
angles: 60.00 60.00 60.00
Fractional positions:
Se: 0.000 0.000 0.000
La: 0.250 0.250 0.250
In: 0.500 0.500 0.500
La: 0.750 0.750 0.750

- M_tot (μB per formula unit) = 0.00
- final energy (eV per atom) = -4.85
- symmetry = No. 225
- polymorph energy (0 for the lowest one) (eV per atom) = 0.3258

---

[2]
Entry from Alexandria via LeMat-Bulk: an optimized crystal structure of Sc3NiBi (PBE).

abc: 5.393 5.393 5.393
angles: 90.00 90.00 90.00
Last column: magnetic moment on the atom in μB.
Fractional positions:
Sc: 0.000 0.500 0.000  0.44
Sc: 0.000 0.000 0.500  0.51
Ni: 0.500 0.500 0.500  -0.45
Sc: 0.500 0.000 0.000  0.43
Bi: 0.000 0.000 0.000  0.03

- M_tot (μB per formula unit) = 2.25
- final energy (eV per atom) = -4.88
- symmetry = No. 221
- DFT formation energy (eV/atom) = 0.847
- polymorph energy (0 for the lowest one) (eV per atom) = 1.1974

---

[3]
Entry from Alexandria via LeMat-Bulk: an optimized crystal structure of Sm3In (PBE).

abc: 7.087 7.087 5.540
angles: 90.00 90.00 120.00
Fractional positions:
In: 0.333 0.667 0.750
Sm: 0.825 0.175 0.750
In: 0.667 0.333 0.250
Sm: 0.175 0.825 0.250
Sm: 0.825 0.650 0.750
Sm: 0.350 0.175 0.750
Sm: 0.175 0.350 0.250
Sm: 0.650 0.825 0.250

- M_tot (μB per formula unit) = 0.00
- final energy (eV per atom) = -4.48
- symmetry = No. 194
- DFT formation energy (eV/atom) = -0.261
- polymorph energy (0 for the lowest one) (eV per atom) = 0.0101

---

[4]
Entry from Alexandria via LeMat-Bulk: an optimized crystal structure of LiPr2Gd (PBE).

abc: 5.634 5.634 5.634
angles: 60.00 60.00 60.00
Last column: magnetic moment on the atom in μB.
Fractional positions:
Li: 0.000 0.000 0.000  -0.01
Pr: 0.750 0.750 0.750  0.02
Pr: 0.250 0.250 0.250  0.02
Gd: 0.500 0.500 0.500  7.19

- M_tot (μB per formula unit) = 7.42
- final energy (eV per atom) = -6.23
- symmetry = No. 225
- DFT formation energy (eV/atom) = 0.158
- polymorph energy (0 for the lowest one) (eV per atom) = 0.0976

---

[5]
Entry from Alexandria via LeMat-Bulk: an optimized crystal structure of Li2Tb2InPd5 (PBE).

abc: 3.711 9.657 9.657
angles: 90.00 90.00 90.00
Fractional positions:
Li: 0.000 0.880 0.380
Pd: 0.500 0.500 0.000
In: 0.000 0.000 0.000
Pd: 0.500 0.569 0.710
Li: 0.000 0.380 0.120
Tb: 0.000 0.178 0.322
Pd: 0.500 0.710 0.431
Tb: 0.000 0.678 0.178
Pd: 0.500 0.290 0.569
Pd: 0.500 0.790 0.931
Pd: 0.500 0.210 0.069
Li: 0.000 0.620 0.880
Pd: 0.500 0.431 0.290
In: 0.000 0.500 0.500
Pd: 0.500 0.931 0.210
Pd: 0.500 0.000 0.500
Tb: 0.000 0.822 0.678
Tb: 0.000 0.322 0.822
Li: 0.000 0.120 0.620
Pd: 0.500 0.069 0.790

- M_tot (μB per formula unit) = 0.00
- final energy (eV per atom) = -4.86
- symmetry = No. 127
- DFT formation energy (eV/atom) = -0.683

---

[6]
Entry from Alexandria via LeMat-Bulk: an optimized crystal structure of La6PmPt4 (PBE).

abc: 6.161 6.160 9.445
angles: 107.36 107.33 94.96
Fractional positions:
Pt: 0.382 0.909 0.289
La: 0.092 0.550 0.643
Pt: 0.614 0.615 0.706
La: 0.016 0.511 0.024
La: 0.916 0.916 0.358
La: 0.511 0.016 0.024
Pt: 0.088 0.088 0.704
Pt: 0.909 0.382 0.289
La: 0.550 0.092 0.643
La: 0.442 0.442 0.360
Pm: 0.979 0.980 0.961

- M_tot (μB per formula unit) = 0.00
- final energy (eV per atom) = -6.10
- symmetry = No. 8
- DFT formation energy (eV/atom) = -0.786

---

[7]
Entry from Alexandria via LeMat-Bulk: an optimized crystal structure of ZrNb3C4 (PBE).

abc: 10.676 10.676 10.676
angles: 17.37 17.37 17.37
Fractional positions:
C: 0.622 0.622 0.622
C: 0.126 0.126 0.126
Nb: 0.500 0.500 0.500
Nb: 0.249 0.249 0.249
Nb: 0.751 0.751 0.751
Zr: 0.000 0.000 0.000
C: 0.874 0.874 0.874
C: 0.378 0.378 0.378

- M_tot (μB per formula unit) = 0.00
- final energy (eV per atom) = -10.02
- symmetry = No. 166
- DFT formation energy (eV/atom) = -0.562
- polymorph energy (0 for the lowest one) (eV per atom) = 0.0057

---

[8]
Entry from Alexandria via LeMat-Bulk: an optimized crystal structure of ThTlCuAg (PBE).

abc: 5.009 5.009 5.009
angles: 60.00 60.00 60.00
Fractional positions:
Ag: 0.500 0.500 0.500
Tl: 0.250 0.250 0.250
Cu: 0.000 0.000 0.000
Th: 0.750 0.750 0.750

- M_tot (μB per formula unit) = 0.00
- final energy (eV per atom) = -4.26
- symmetry = No. 216
- DFT formation energy (eV/atom) = -0.076

---

[9]
Entry from Alexandria via LeMat-Bulk: an optimized crystal structure of Cs3PmCl6 (PBE).

abc: 8.187 8.603 11.655
angles: 90.00 89.22 90.00
Fractional positions:
Cl: 0.165 0.261 0.070
Cl: 0.232 0.325 0.451
Cs: 0.500 0.500 0.000
Cl: 0.614 0.450 0.281
Cs: 0.023 0.563 0.256
Cl: 0.268 0.825 0.049
Cs: 0.523 0.937 0.756
Cs: 0.477 0.063 0.244
Cl: 0.665 0.239 0.570
Cs: 0.000 0.000 0.500
Cl: 0.886 0.950 0.219
Cl: 0.335 0.761 0.430
Cl: 0.114 0.050 0.781
Cs: 0.977 0.437 0.744
Cl: 0.835 0.739 0.930
Cl: 0.732 0.175 0.951
Pm: 0.500 0.500 0.500
Cl: 0.768 0.675 0.549
Pm: 0.000 0.000 0.000
Cl: 0.386 0.550 0.719

- M_tot (μB per formula unit) = 0.00
- final energy (eV per atom) = -4.00
- symmetry = No. 14
- polymorph energy (0 for the lowest one) (eV per atom) = 0.0000

---

[10]
Entry from Alexandria via LeMat-Bulk: an optimized crystal structure of BaTl4Cl6 (PBE).

abc: 6.434 6.434 11.843
angles: 117.87 117.87 78.89
Fractional positions:
Cl: 0.918 0.918 0.368
Tl: 0.817 0.361 0.322
Ba: 0.061 0.061 0.962
Cl: 0.067 0.581 0.990
Tl: 0.139 0.139 0.684
Cl: 0.581 0.067 0.990
Cl: 0.068 0.624 0.679
Cl: 0.624 0.068 0.679
Tl: 0.575 0.575 0.714
Tl: 0.361 0.817 0.322
Cl: 0.288 0.288 0.290

- M_tot (μB per formula unit) = 0.00
- final energy (eV per atom) = -3.42
- symmetry = No. 8

---

[11]
Entry from Alexandria via LeMat-Bulk: an optimized crystal structure of TbHo2Er2 (PBE).

abc: 6.401 6.401 11.475
angles: 95.77 95.77 129.74
Fractional positions:
Er: 0.625 0.375 0.250
Er: 0.625 0.375 0.750
Er: 0.125 0.375 0.750
Tb: 0.500 0.500 0.000
Ho: 0.082 0.918 0.500
Ho: 0.168 0.832 0.000
Ho: 0.418 0.582 0.500
Ho: 0.832 0.168 0.000
Tb: 0.750 0.250 0.500
Er: 0.625 0.875 0.250

- M_tot (μB per formula unit) = 0.00
- final energy (eV per atom) = -4.08
- symmetry = No. 70
- DFT formation energy (eV/atom) = 0.504
- polymorph energy (0 for the lowest one) (eV per atom) = 0.4150

---

[12]
Entry from Alexandria via LeMat-Bulk: an optimized crystal structure of Pm8AgIr2 (PBE).

abc: 5.056 7.096 9.330
angles: 101.39 105.72 90.00
Fractional positions:
Pm: 0.041 0.764 0.082
Pm: 0.409 0.547 0.818
Ir: 0.203 0.734 0.405
Pm: 0.671 0.963 0.343
Pm: 0.799 0.666 0.597
Ag: 0.500 0.000 0.000
Pm: 0.959 0.236 0.918
Pm: 0.201 0.334 0.403
Ir: 0.797 0.266 0.595
Pm: 0.591 0.453 0.182
Pm: 0.329 0.037 0.657

- M_tot (μB per formula unit) = 0.00
- final energy (eV per atom) = -5.66
- symmetry = No. 12
- DFT formation energy (eV/atom) = -0.335
- polymorph energy (0 for the lowest one) (eV per atom) = 0.0000